4
Lattice="3.068 0.000 0.000 0.000 3.068 0.000 0.000 0.000 8.707" Properties=species:S:1:pos:R:3 comment="KMnCr2 PBE optimized geometry" e_tot_ev_per_cell=-26.450 pbc="T T T"
K 0.000 0.000 0.000
Mn 0.000 0.000 4.354
Cr 1.534 1.534 2.952
Cr 1.534 1.534 5.755

***

8
Lattice="-3.291 3.291 3.484 3.291 -3.291 3.484 3.291 3.291 -3.484" Properties=species:S:1:pos:R:3 comment="VSn2N PBE optimized geometry" e_tot_ev_per_cell=-46.158 pbc="T T T"
V 0.000 0.000 0.000
V 0.000 3.291 1.742
Sn 1.646 -1.200 2.613
Sn 2.091 1.646 0.871
Sn 1.646 4.491 -0.871
Sn 1.200 1.646 4.355
N 3.291 0.000 1.742
N 0.000 0.000 3.484

***

29
Lattice="6.363 0.000 0.000 -1.253 8.052 0.000 -0.481 -2.944 8.423" Properties=species:S:1:pos:R:3 comment="Na5Si6O18 PBE optimized geometry" e_tot_ev_per_cell=-185.344 pbc="T T T"
Na 0.000 0.000 0.000
Na -0.412 5.144 3.100
Na -0.437 2.533 8.418
Na 5.065 2.575 0.005
Na 5.041 -0.036 5.323
Si 1.153 0.413 2.609
Si 1.490 0.048 7.028
Si 1.936 2.440 1.536
Si 2.693 2.668 6.887
Si 3.139 5.060 1.395
Si 3.476 4.695 5.814
O 0.436 1.714 1.579
O 0.028 0.609 7.210
O 0.467 0.418 4.060
O -0.104 7.124 1.739
O 1.704 -1.397 4.801
O 1.587 -1.438 6.142
O 1.961 4.032 1.984
O 2.608 2.383 0.025
O 2.611 1.335 2.543
O 2.018 3.773 5.880
O 2.021 2.725 8.398
O 2.668 1.076 6.439
O 3.041 6.546 2.281
O 2.925 6.505 3.622
O 4.732 -2.016 6.684
O 4.162 4.690 4.363
O 4.601 4.498 1.213
O 4.193 3.394 6.844

***

4
Lattice="0.000 3.954 3.954 3.954 0.000 3.954 3.954 3.954 0.000" Properties=species:S:1:pos:R:3 comment="SrAcCdAs PBE optimized geometry" e_tot_ev_per_cell=-13.582 pbc="T T T"
Sr 0.000 0.000 0.000
Ac 3.954 3.954 3.954
Cd 1.977 1.977 1.977
As 5.931 5.931 5.931

***

4
Lattice="5.725 0.000 0.000 0.000 5.725 0.000 0.000 0.000 3.504" Properties=species:S:1:pos:R:3 comment="Er2TmPa PBE optimized geometry" e_tot_ev_per_cell=-21.957 pbc="T T T"
Er 0.000 2.862 0.000
Er 2.862 0.000 0.000
Tm 0.000 0.000 1.752
Pa 2.862 2.862 1.752

***

5
Lattice="6.583 0.000 0.000 0.000 6.583 0.000 0.000 0.000 6.583" Properties=species:S:1:pos:R:3 comment="Ba3HfSb PBE optimized geometry" e_tot_ev_per_cell=-17.196 pbc="T T T"
Ba 0.000 0.000 3.292
Ba 0.000 3.292 0.000
Ba 3.292 0.000 0.000
Hf 3.292 3.292 3.292
Sb 0.000 0.000 0.000

***

10
Lattice="3.457 -5.197 0.000 3.457 5.197 0.000 -2.967 0.000 5.932" Properties=species:S:1:pos:R:3 comment="Zr2Sc2Fe PBE optimized geometry" e_tot_ev_per_cell=-76.532 pbc="T T T"
Zr 0.980 2.843 4.434
Zr 2.967 2.843 1.498
Zr 0.980 -2.843 4.434
Zr 2.967 -2.843 1.498
Sc -0.201 0.000 3.701
Sc 1.445 0.000 0.601
Sc 2.502 0.000 5.331
Sc 4.149 0.000 2.231
Fe 1.974 1.179 2.966
Fe 1.974 -1.179 2.966

***

4
Lattice="1.583 0.914 10.647 -1.583 0.914 10.647 0.000 -1.828 10.647" Properties=species:S:1:pos:R:3 comment="ReSeBr2 PBE optimized geometry" e_tot_ev_per_cell=-16.590 pbc="T T T"
Re 0.000 0.000 0.000
Se 0.000 0.000 15.971
Br 0.000 0.000 12.524
Br 0.000 0.000 19.419

***

4
Lattice="0.000 3.528 3.528 3.528 0.000 3.528 3.528 3.528 0.000" Properties=species:S:1:pos:R:3 comment="TbHfMgZn PBE optimized geometry" e_tot_ev_per_cell=-17.448 pbc="T T T"
Tb 0.000 0.000 0.000
Hf 3.528 3.528 3.528
Mg 5.292 5.292 5.292
Zn 1.764 1.764 1.764

***

4
Lattice="2.947 0.000 0.000 0.000 3.956 0.000 0.000 0.000 6.187" Properties=species:S:1:pos:R:3 comment="AlIrCl2 PBE optimized geometry" e_tot_ev_per_cell=-13.337 pbc="T T T"
Al 0.000 0.000 0.000
Ir 0.000 0.000 3.094
Cl 1.474 1.978 1.589
Cl 1.474 1.978 4.599

***

6
Lattice="4.721 0.000 0.000 -2.361 4.089 0.000 0.000 0.000 4.547" Properties=species:S:1:pos:R:3 comment="TaSi5 PBE optimized geometry" e_tot_ev_per_cell=-38.181 pbc="T T T"
Ta 0.000 0.000 0.000
Si -1.603 2.777 2.274
Si 0.757 1.312 2.274
Si 0.000 2.726 0.000
Si 2.361 1.363 0.000
Si 3.207 0.000 2.274

***

5
Lattice="5.316 0.000 0.000 0.000 5.316 0.000 0.000 0.000 4.394" Properties=species:S:1:pos:R:3 comment="CsLi2BeGa PBE optimized geometry" e_tot_ev_per_cell=-10.467 pbc="T T T"
Cs 0.000 0.000 0.000
Li 0.000 2.658 2.197
Li 2.658 0.000 2.197
Be 2.658 2.658 2.197
Ga 2.658 2.658 0.000